Computed, not measured: a relaxed SrAlGa3Ir crystal at the PBE level of DFT.

- magnetic moment (μB/atom) = 0.00
- ΔE to the lowest computed polymorph (eV per atom) = 0.000

Cell lengths 7.917, 4.118, 7.309 Å; angles 90.00, 90.00, 90.00 degrees
Fractional positions:
Sr 0.250 0.000 0.113
Sr 0.750 0.000 0.887
Al 0.000 0.000 0.500
Al 0.500 0.000 0.500
Ga 0.064 0.500 0.794
Ga 0.250 0.500 0.444
Ga 0.436 0.500 0.794
Ga 0.564 0.500 0.206
Ga 0.750 0.500 0.556
Ga 0.936 0.500 0.206
Ir 0.250 0.000 0.683
Ir 0.750 0.000 0.317